An optimized crystal structure of Fe6O5F. Source: Alexandria via LeMat-Bulk, functional GGA+U.

**SG**: P-1, No. 2
**Fermi-level density of states**: 1.46 states/eV per cell
**Total DFT energy (no corrections)**: -75.928 eV/cell

Geometry as POSCAR:
```
Fe6O5F
1.0
5.4242 0.1908 0.7523
1.3445 4.5031 2.7720
0.0054 0.1386 5.5473
Fe F O
6 1 5
direct
0.7426 0.7333 0.0105 Fe
0.7396 0.0870 0.3481 Fe
0.7404 0.4351 0.6544 Fe
0.2574 0.2667 0.9895 Fe
0.2596 0.5649 0.3456 Fe
0.2604 0.9130 0.6519 Fe
0.0000 0.0000 0.0000 F
0.4754 0.8413 0.3161 O
0.5000 0.5000 0.0000 O
0.9912 0.6579 0.6637 O
0.5246 0.1587 0.6839 O
0.0088 0.3421 0.3363 O
```